a | VASP calculation (PBE-GGA) on crystalline Sc2AuS2 at its relaxed geometry.

Density of states at the Fermi level (states/eV/f.u.): 2.4

Lattice parameters (Å, degrees): 6.729 6.729 6.729 142.46 142.46 54.14
Fractional positions:
Sc: 0.143 0.143 0.000
Sc: 0.857 0.857 0.000
Au: 0.500 0.500 0.000
S: 0.250 0.750 0.500
S: 0.750 0.250 0.500

=====

b | VASP calculation (PBE-GGA) on crystalline Sc2AuS2 at its relaxed geometry.

Density of states at the Fermi level (states/eV/f.u.): 2.8

Lattice parameters (Å, degrees): 7.369 7.369 3.244 90.00 90.00 90.00
Fractional positions:
Sc: 0.157 0.343 0.000
Sc: 0.343 0.843 0.000
Sc: 0.657 0.157 0.000
Sc: 0.843 0.657 0.000
Au: 0.000 0.000 0.500
Au: 0.500 0.500 0.500
S: 0.139 0.639 0.500
S: 0.361 0.139 0.500
S: 0.639 0.861 0.500
S: 0.861 0.361 0.500

=====

Which of them is least stable? Easy: a.

=====

a | VASP calculation (PBE-GGA) on crystalline Au2SeS at its relaxed geometry.

Density of states at the Fermi level (states/eV/f.u.): 2.5

Lattice parameters (Å, degrees): 7.136 7.136 7.136 132.25 132.25 69.84
Fractional positions:
Au: 0.104 0.625 0.979
Au: 0.375 0.354 0.479
Au: 0.646 0.125 0.021
Au: 0.875 0.896 0.521
Se: 0.250 0.750 0.500
Se: 0.500 0.500 0.000
S: 0.000 0.000 0.000
S: 0.750 0.250 0.500

=====

b | VASP calculation (PBE-GGA) on crystalline Au2SeS at its relaxed geometry.

Density of states at the Fermi level (states/eV/f.u.): 4.5

Lattice parameters (Å, degrees): 4.742 4.742 4.742 60.00 60.00 60.00
Fractional positions:
Au: 0.250 0.250 0.250
Au: 0.750 0.750 0.750
Se: 0.000 0.000 0.000
S: 0.500 0.500 0.500

=====

Which of them is least stable? Easy: b.

=====

a | VASP calculation (PBE-GGA) on crystalline SiAu2S at its relaxed geometry.

Density of states at the Fermi level (states/eV/f.u.): 0.3

Lattice parameters (Å, degrees): 4.638 4.638 4.638 60.00 60.00 60.00
Fractional positions:
Si: 0.000 0.000 0.000
Au: 0.250 0.250 0.250
Au: 0.750 0.750 0.750
S: 0.500 0.500 0.500

=====

b | VASP calculation (PBE-GGA) on crystalline SiAu2S at its relaxed geometry.

Density of states at the Fermi level (states/eV/f.u.): 1.2

Lattice parameters (Å, degrees): 6.206 6.206 6.206 119.32 119.32 91.18
Fractional positions:
Si: 0.000 0.000 0.000
Si: 0.750 0.250 0.500
Au: 0.109 0.125 0.484
Au: 0.375 0.891 0.016
Au: 0.641 0.625 0.516
Au: 0.875 0.359 0.984
S: 0.250 0.750 0.500
S: 0.500 0.500 0.000

=====

Which of them is least stable? Easy: a.

=====

a | VASP calculation (PBE-GGA) on crystalline Sn3AuS at its relaxed geometry.

Density of states at the Fermi level (states/eV/f.u.): 2.2

Lattice parameters (Å, degrees): 5.360 5.360 5.360 90.00 90.00 90.00
Fractional positions:
Sn: 0.000 0.000 0.500
Sn: 0.000 0.500 0.000
Sn: 0.500 0.000 0.000
Au: 0.000 0.000 0.000
S: 0.500 0.500 0.500

=====

b | VASP calculation (PBE-GGA) on crystalline Sn3AuS at its relaxed geometry.

Density of states at the Fermi level (states/eV/f.u.): 3.6

Lattice parameters (Å, degrees): 5.301 5.301 5.301 90.00 90.00 90.00
Fractional positions:
Sn: 0.000 0.000 0.500
Sn: 0.000 0.500 0.000
Sn: 0.500 0.000 0.000
Au: 0.500 0.500 0.500
S: 0.000 0.000 0.000

=====

Which of them is least stable? Easy: a.

=====

a | VASP calculation (PBE-GGA) on crystalline SrAuS2 at its relaxed geometry.

Density of states at the Fermi level (states/eV/f.u.): 5.9

Lattice parameters (Å, degrees): 4.946 4.946 4.946 60.00 60.00 60.00
Fractional positions:
Sr: 0.000 0.000 0.000
Au: 0.500 0.500 0.500
S: 0.250 0.250 0.250
S: 0.750 0.750 0.750

=====

b | VASP calculation (PBE-GGA) on crystalline SrAuS2 at its relaxed geometry.

Density of states at the Fermi level (states/eV/f.u.): 2.7

Lattice parameters (Å, degrees): 7.538 7.538 7.538 36.61 36.61 36.61
Fractional positions:
Sr: 0.000 0.000 0.000
Au: 0.500 0.500 0.500
S: 0.393 0.393 0.393
S: 0.607 0.607 0.607

=====

Which of them is least stable? Easy: a.

=====

a | VASP calculation (PBE-GGA) on crystalline TaAu3S at its relaxed geometry.

Density of states at the Fermi level (states/eV/f.u.): 5.2

Lattice parameters (Å, degrees): 5.123 5.123 5.123 90.00 90.00 90.00
Fractional positions:
Ta: 0.000 0.000 0.000
Au: 0.000 0.000 0.500
Au: 0.000 0.500 0.000
Au: 0.500 0.000 0.000
S: 0.500 0.500 0.500

=====

b | VASP calculation (PBE-GGA) on crystalline TaAu3S at its relaxed geometry.

Density of states at the Fermi level (states/eV/f.u.): 3.0

Lattice parameters (Å, degrees): 4.693 4.693 4.693 90.00 90.00 90.00
Fractional positions:
Ta: 0.000 0.000 0.000
Au: 0.000 0.500 0.500
Au: 0.500 0.000 0.500
Au: 0.500 0.500 0.000
S: 0.500 0.500 0.500

=====

Which of them is least stable? Easy: a.